1.
{"formula": "Sr2CaFe", "functional": "PBE-GGA", "state": "relaxed", "lattice": [[3.874, 0.000, 0.000], [0.000, 3.874, 0.000], [0.000, 0.000, 9.743]], "species": ["Sr", "Sr", "Ca", "Fe"], "fractional_positions": [[0.000, 0.000, 0.000], [0.500, 0.500, 0.339], [0.000, 0.000, 0.645], [0.500, 0.500, 0.804]], "formation_energy_kj_per_mol_atoms": 37.63, "dft_energy_ha_per_atom": -0.1127, "m_tot_mub_per_atom": 0.587, "de_polymorph_ev_per_atom": 0.0000}

2.
{"formula": "RbScAsBr2", "functional": "PBE-GGA", "state": "relaxed", "lattice": [[5.916, 0.000, 0.000], [0.000, 5.916, 0.000], [0.000, 0.000, 5.832]], "species": ["Rb", "Sc", "As", "Br", "Br"], "fractional_positions": [[0.000, 0.000, 0.000], [0.500, 0.500, 0.500], [0.000, 0.000, 0.500], [0.000, 0.500, 0.000], [0.500, 0.000, 0.000]], "dft_energy_ha_per_atom": -0.0996, "m_tot_mub_per_atom": 0.002, "de_polymorph_ev_per_atom": 1.4574, "raw_formation_energy_mev_per_atom": 348}

3.
{"formula": "Bi2BrO", "functional": "PBE-GGA", "state": "relaxed", "lattice": [[-2.830, 2.830, 7.508], [2.830, -2.830, 7.508], [2.830, 2.830, -7.508]], "species": ["Bi", "Bi", "Bi", "Bi", "Br", "Br", "O", "O"], "fractional_positions": [[0.375, 0.242, 0.367], [0.758, 0.125, 0.133], [0.875, 0.008, 0.633], [0.992, 0.625, 0.867], [0.250, 0.750, 0.500], [0.500, 0.500, 0.000], [0.000, 0.000, 0.000], [0.750, 0.250, 0.500]], "dft_energy_ha_per_atom": -0.1451, "m_tot_mub_per_atom": 0.000, "de_polymorph_ev_per_atom": 0.0000, "raw_formation_energy_mev_per_atom": -351}

Number 1: mass density 3.079 Mg/m³. Number 2: mass density 2.971 Mg/m³. Number 3: mass density 7.095 Mg/m³.